Entry from the Alexandria database: a geometry-optimized Li4Tl2Zn structure (GGA-PBE).

## Properties
Its calculated total energy is -2.1025 eV/atom.

abc: 4.7689 4.7689 7.3557
angles: 71.09 71.09 60.00
Sites, in units of the cell vectors:
Li: 0.8658 0.8658 0.4026
Li: 0.1342 0.1342 0.5974
Li: 0.5831 0.5831 0.2507
Li: 0.4169 0.4169 0.7493
Tl: 0.7296 0.7296 0.8112
Tl: 0.2704 0.2704 0.1888
Zn: 0.0000 0.0000 0.0000



Entry from the Alexandria database: a geometry-optimized Li2ZrTlZn structure (GGA-PBE).

## Properties
Its calculated total energy is -2.2508 eV/atom.

abc: 5.4752 5.2060 5.4752
angles: 90.00 90.00 90.00
Sites, in units of the cell vectors:
Tl: 0.5000 0.5000 0.5000
Zn: 0.0000 0.5000 0.0000
Zr: 0.0000 0.0000 0.0000
Li: 0.0000 0.0000 0.5000
Li: 0.5000 0.0000 0.0000



Entry from the Alexandria database: a geometry-optimized LiZrTlZn structure (GGA-PBE).

## Properties
Its calculated total energy is -3.6037 eV/atom.

abc: 4.8091 4.8091 4.8091
angles: 60.00 60.00 60.00
Sites, in units of the cell vectors:
Tl: 0.5000 0.5000 0.5000
Zn: 0.0000 0.0000 0.0000
Zr: 0.2500 0.2500 0.2500
Li: 0.7500 0.7500 0.7500



Entry from the Alexandria database: a geometry-optimized LiZrTl structure (GGA-PBE).

## Properties
Its calculated total energy is -4.1833 eV/atom. For the energy relative to the lowest polymorph listed for this composition, the calculation gives 0.2377 eV/atom.

abc: 8.2288 6.1400 4.7576
angles: 90.00 90.00 90.00
Sites, in units of the cell vectors:
Tl: 0.0000 0.0000 0.0000
Tl: 0.5000 0.5000 0.5000
Tl: 0.5000 0.0000 0.5000
Tl: 0.0000 0.5000 0.0000
Zr: 0.3334 0.2500 0.0002
Zr: 0.1666 0.7500 0.5002
Zr: 0.6666 0.7500 0.9998
Zr: 0.8334 0.2500 0.4998
Li: 0.6670 0.2500 0.9996
Li: 0.8330 0.7500 0.4996
Li: 0.3330 0.7500 0.0004
Li: 0.1670 0.2500 0.5004



Going through the records in order, we get theoretical density values of 6.204 3.989 7.769 8.360 g cm⁻³.
Going through the records in order, we get DOS at the Fermi energy values of 2.292 4.465 1.633 2.584 states/eV/cell.